This record from Alexandria via LeMat-Bulk describes an optimized crystal structure of Li2ZnPd3. The functional is PBE-GGA.

Values from the calculation:
Relative energy among the computed polymorphs: 0.0000 eV/atom
Mass density: 8023 kg/m³
ΔE_f: -0.52 eV per atom
E_tot: -47.560 eV/cell

Structure (CIF):
```
data_Li2ZnPd3
_chemical_formula_sum 'Li4 Zn2 Pd6'
_cell_length_a 4.258
_cell_length_b 12.783
_cell_length_c 3.031
_cell_angle_alpha 90.00
_cell_angle_beta 90.00
_cell_angle_gamma 90.00
_symmetry_space_group_name_H-M 'C m m m'
_symmetry_Int_Tables_number 65
_symmetry_space_group_name_Hall '-C 2 2'
loop_
_atom_site_label
_atom_site_fract_x
_atom_site_fract_y
_atom_site_fract_z
Li1 0.000 0.166 0.000
Zn1 0.000 0.500 0.000
Pd1 0.000 0.000 0.500
Pd2 0.000 0.332 0.500
```



This record from Alexandria via LeMat-Bulk describes an optimized crystal structure of Li6Zn3Pd. The functional is PBE-GGA.

Values from the calculation:
Mass density: 3584 kg/m³
ΔE_f: -0.19 eV per atom
E_tot: -89.746 eV/cell

Structure (CIF):
```
data_Li6Zn3Pd
_chemical_formula_sum 'Li24 Zn12 Pd4'
_cell_length_a 7.722
_cell_length_b 16.599
_cell_length_c 4.977
_cell_angle_alpha 90.00
_cell_angle_beta 90.00
_cell_angle_gamma 90.00
_symmetry_space_group_name_H-M 'C m c 21'
_symmetry_Int_Tables_number 36
loop_
_symmetry_equiv_pos_as_xyz
'x,y,z'
'-x,-y,z+1/2'
'-x,y,z'
'x,-y,z+1/2'
'x+1/2,y+1/2,z'
'-x+1/2,-y+1/2,z+1/2'
'-x+1/2,y+1/2,z'
'x+1/2,-y+1/2,z+1/2'
loop_
_atom_site_label
_atom_site_fract_x
_atom_site_fract_y
_atom_site_fract_z
Li1 0.000 0.052 0.000
Li2 0.000 0.323 0.773
Li3 0.166 0.472 0.633
Li4 0.205 0.202 0.954
Zn1 0.000 0.383 0.242
Zn2 0.177 0.110 0.520
Pd1 0.000 0.230 0.355
```



This record from Alexandria via LeMat-Bulk describes an optimized crystal structure of Li9ZnPd2. The functional is PBE-GGA.

Values from the calculation:
Mass density: 2960 kg/m³
ΔE_f: -0.19 eV per atom
E_tot: -31.198 eV/cell

Structure (CIF):
```
data_Li9ZnPd2
_chemical_formula_sum 'Li9 Zn1 Pd2'
_cell_length_a 4.953
_cell_length_b 4.956
_cell_length_c 9.412
_cell_angle_alpha 105.25
_cell_angle_beta 90.10
_cell_angle_gamma 119.76
_symmetry_space_group_name_H-M 'P -1'
_symmetry_Int_Tables_number 2
loop_
_symmetry_equiv_pos_as_xyz
'x,y,z'
'-x,-y,-z'
loop_
_atom_site_label
_atom_site_fract_x
_atom_site_fract_y
_atom_site_fract_z
Li1 0.000 0.000 0.000
Li2 0.085 0.802 0.234
Li3 0.164 0.328 0.493
Li4 0.284 0.854 0.766
Li5 0.429 0.516 0.234
Zn1 0.500 0.000 0.500
Pd1 0.331 0.664 0.995
```



This record from Alexandria via LeMat-Bulk describes an optimized crystal structure of LiZn4Pd3. The functional is PBE-GGA.

Values from the calculation:
Mass density: 8500 kg/m³
ΔE_f: -0.49 eV per atom
E_tot: -53.066 eV/cell

Structure (CIF):
```
data_LiZn4Pd3
_chemical_formula_sum 'Li2 Zn8 Pd6'
_cell_length_a 13.936
_cell_length_b 4.154
_cell_length_c 4.154
_cell_angle_alpha 90.00
_cell_angle_beta 107.22
_cell_angle_gamma 90.00
_symmetry_space_group_name_H-M 'C 1 2/m 1'
_symmetry_Int_Tables_number 12
loop_
_symmetry_equiv_pos_as_xyz
'x,y,z'
'-x,-y,-z'
'-x,y,-z'
'x,-y,z'
'x+1/2,y+1/2,z'
'-x+1/2,-y+1/2,-z'
'-x+1/2,y+1/2,-z'
'x+1/2,-y+1/2,z'
loop_
_atom_site_label
_atom_site_fract_x
_atom_site_fract_y
_atom_site_fract_z
Li1 0.000 0.000 0.000
Zn1 0.124 0.000 0.625
Zn2 0.124 0.500 0.124
Pd1 0.000 0.500 0.500
Pd2 0.249 0.500 0.749
```



This record from Alexandria via LeMat-Bulk describes an optimized crystal structure of Li2ZnPd2. The functional is PBE-GGA.

Values from the calculation:
Relative energy among the computed polymorphs: 0.1081 eV/atom
Mass density: 7138 kg/m³
ΔE_f: -0.36 eV per atom
E_tot: -34.553 eV/cell

Structure (CIF):
```
data_Li2ZnPd2
_chemical_formula_sum 'Li4 Zn2 Pd4'
_cell_length_a 6.824
_cell_length_b 6.824
_cell_length_c 2.919
_cell_angle_alpha 90.00
_cell_angle_beta 90.00
_cell_angle_gamma 90.00
_symmetry_space_group_name_H-M 'P 4/m b m'
_symmetry_Int_Tables_number 127
_symmetry_space_group_name_Hall '-P 4 2ab'
loop_
_atom_site_label
_atom_site_fract_x
_atom_site_fract_y
_atom_site_fract_z
Li1 0.120 0.380 0.000
Zn1 0.000 0.000 0.000
Pd1 0.182 0.682 0.500
```



This record from Alexandria via LeMat-Bulk describes an optimized crystal structure of Li2ZnPd8. The functional is PBE-GGA.

Values from the calculation:
Relative energy among the computed polymorphs: 0.0000 eV/atom
Mass density: 9514 kg/m³
ΔE_f: -0.28 eV per atom
E_tot: -99.479 eV/cell

Structure (CIF):
```
data_Li2ZnPd8
_chemical_formula_sum 'Li4 Zn2 Pd16'
_cell_length_a 13.940
_cell_length_b 3.928
_cell_length_c 6.172
_cell_angle_alpha 90.00
_cell_angle_beta 106.00
_cell_angle_gamma 90.00
_symmetry_space_group_name_H-M 'C 1 2/m 1'
_symmetry_Int_Tables_number 12
loop_
_symmetry_equiv_pos_as_xyz
'x,y,z'
'-x,-y,-z'
'-x,y,-z'
'x,-y,z'
'x+1/2,y+1/2,z'
'-x+1/2,-y+1/2,-z'
'-x+1/2,y+1/2,-z'
'x+1/2,-y+1/2,z'
loop_
_atom_site_label
_atom_site_fract_x
_atom_site_fract_y
_atom_site_fract_z
Li1 0.227 0.000 0.143
Zn1 0.000 0.500 0.500
Pd1 0.046 0.000 0.229
Pd2 0.094 0.500 0.952
Pd3 0.139 0.000 0.688
Pd4 0.181 0.500 0.411
```



This record from Alexandria via LeMat-Bulk describes an optimized crystal structure of Li2Zn4Pd3. The functional is PBE-GGA.

Values from the calculation:
Mass density: 7687 kg/m³
ΔE_f: -0.46 eV per atom
E_tot: -57.368 eV/cell

Structure (CIF):
```
data_Li2Zn4Pd3
_chemical_formula_sum 'Li4 Zn8 Pd6'
_cell_length_a 8.446
_cell_length_b 3.965
_cell_length_c 7.989
_cell_angle_alpha 90.00
_cell_angle_beta 106.18
_cell_angle_gamma 90.00
_symmetry_space_group_name_H-M 'C 1 2/m 1'
_symmetry_Int_Tables_number 12
loop_
_symmetry_equiv_pos_as_xyz
'x,y,z'
'-x,-y,-z'
'-x,y,-z'
'x,-y,z'
'x+1/2,y+1/2,z'
'-x+1/2,-y+1/2,-z'
'-x+1/2,y+1/2,-z'
'x+1/2,-y+1/2,z'
loop_
_atom_site_label
_atom_site_fract_x
_atom_site_fract_y
_atom_site_fract_z
Li1 0.167 0.000 0.228
Zn1 0.009 0.500 0.340
Zn2 0.166 0.000 0.895
Pd1 0.000 0.500 0.000
Pd2 0.168 0.000 0.573
```



This record from Alexandria via LeMat-Bulk describes an optimized crystal structure of Li2ZnPd2. The functional is PBE-GGA.

Values from the calculation:
Relative energy among the computed polymorphs: 0.1247 eV/atom
Mass density: 6536 kg/m³
ΔE_f: -0.34 eV per atom
E_tot: -68.774 eV/cell

Structure (CIF):
```
data_Li2ZnPd2
_chemical_formula_sum 'Li8 Zn4 Pd8'
_cell_length_a 4.955
_cell_length_b 12.086
_cell_length_c 4.957
_cell_angle_alpha 90.00
_cell_angle_beta 90.00
_cell_angle_gamma 90.00
_symmetry_space_group_name_H-M 'I b a m'
_symmetry_Int_Tables_number 72
_symmetry_space_group_name_Hall '-I 2 2c'
loop_
_atom_site_label
_atom_site_fract_x
_atom_site_fract_y
_atom_site_fract_z
Li1 0.122 0.112 0.000
Zn1 0.000 0.500 0.250
Pd1 0.140 0.319 0.000
```



This record from Alexandria via LeMat-Bulk describes an optimized crystal structure of LiZnPd6. The functional is PBE-GGA.

Values from the calculation:
Relative energy among the computed polymorphs: 0.0000 eV/atom
Mass density: 9924 kg/m³
ΔE_f: -0.28 eV per atom
E_tot: -73.172 eV/cell

Structure (CIF):
```
data_LiZnPd6
_chemical_formula_sum 'Li2 Zn2 Pd12'
_cell_length_a 8.745
_cell_length_b 3.902
_cell_length_c 7.793
_cell_angle_alpha 90.00
_cell_angle_beta 116.55
_cell_angle_gamma 90.00
_symmetry_space_group_name_H-M 'C 1 2/m 1'
_symmetry_Int_Tables_number 12
loop_
_symmetry_equiv_pos_as_xyz
'x,y,z'
'-x,-y,-z'
'-x,y,-z'
'x,-y,z'
'x+1/2,y+1/2,z'
'-x+1/2,-y+1/2,-z'
'-x+1/2,y+1/2,-z'
'x+1/2,-y+1/2,z'
loop_
_atom_site_label
_atom_site_fract_x
_atom_site_fract_y
_atom_site_fract_z
Li1 0.000 0.000 0.000
Zn1 0.000 0.000 0.500
Pd1 0.001 0.500 0.749
Pd2 0.249 0.000 0.374
Pd3 0.249 0.500 0.124
```



This record from Alexandria via LeMat-Bulk describes an optimized crystal structure of Li4Zn15Pd. The functional is PBE-GGA.

Values from the calculation:
Mass density: 6349 kg/m³
ΔE_f: -0.16 eV per atom
E_tot: -35.189 eV/cell

Structure (CIF):
```
data_Li4Zn15Pd
_chemical_formula_sum 'Li4 Zn15 Pd1'
_cell_length_a 3.847
_cell_length_b 3.847
_cell_length_c 19.712
_cell_angle_alpha 90.00
_cell_angle_beta 90.00
_cell_angle_gamma 90.00
_symmetry_space_group_name_H-M 'P 4/m m m'
_symmetry_Int_Tables_number 123
_symmetry_space_group_name_Hall '-P 4 2'
loop_
_atom_site_label
_atom_site_fract_x
_atom_site_fract_y
_atom_site_fract_z
Li1 0.000 0.000 0.101
Li2 0.000 0.000 0.300
Zn1 0.000 0.500 0.000
Zn2 0.000 0.500 0.201
Zn3 0.000 0.500 0.400
Zn4 0.500 0.500 0.101
Zn5 0.500 0.500 0.301
Zn6 0.500 0.500 0.500
Pd1 0.000 0.000 0.500
```



This record from Alexandria via LeMat-Bulk describes an optimized crystal structure of Li2ZnPd8. The functional is PBE-GGA.

Values from the calculation:
Relative energy among the computed polymorphs: 0.0644 eV/atom
Mass density: 9160 kg/m³
ΔE_f: -0.22 eV per atom
E_tot: -49.031 eV/cell

Structure (CIF):
```
data_Li2ZnPd8
_chemical_formula_sum 'Li2 Zn1 Pd8'
_cell_length_a 3.951
_cell_length_b 3.951
_cell_length_c 10.805
_cell_angle_alpha 90.00
_cell_angle_beta 90.00
_cell_angle_gamma 90.00
_symmetry_space_group_name_H-M 'P 4/m m m'
_symmetry_Int_Tables_number 123
_symmetry_space_group_name_Hall '-P 4 2'
loop_
_atom_site_label
_atom_site_fract_x
_atom_site_fract_y
_atom_site_fract_z
Li1 0.000 0.000 0.172
Zn1 0.000 0.000 0.500
Pd1 0.000 0.500 0.000
Pd2 0.000 0.500 0.351
Pd3 0.500 0.500 0.175
```



This record from Alexandria via LeMat-Bulk describes an optimized crystal structure of LiZn3Pd. The functional is PBE-GGA.

Values from the calculation:
Relative energy among the computed polymorphs: 0.3395 eV/atom
Mass density: 4551 kg/m³
ΔE_f: -0.02 eV per atom
E_tot: -11.030 eV/cell

Structure (CIF):
```
data_LiZn3Pd
_chemical_formula_sum 'Li1 Zn3 Pd1'
_cell_length_a 4.834
_cell_length_b 4.834
_cell_length_c 4.834
_cell_angle_alpha 90.00
_cell_angle_beta 90.00
_cell_angle_gamma 90.00
_symmetry_space_group_name_H-M 'P m -3 m'
_symmetry_Int_Tables_number 221
_symmetry_space_group_name_Hall '-P 4 2 3'
loop_
_atom_site_label
_atom_site_fract_x
_atom_site_fract_y
_atom_site_fract_z
Li1 0.000 0.000 0.000
Zn1 0.000 0.500 0.500
Pd1 0.500 0.500 0.500
```